# TlAg2Cl4 | Alexandria via LeMat-Bulk | GGA-PBE | optimized geometry
data_TlAg2Cl4
_cell_length_a 5.764
_cell_length_b 5.764
_cell_length_c 6.756
_cell_angle_alpha 90.00
_cell_angle_beta 90.00
_cell_angle_gamma 90.00
_space_group_name_H-M_alt 'P -4 2 m'
_space_group_IT_number 111
loop_
_space_group_symop_operation_xyz
'x,y,z'
'y,-x,-z'
'-x,-y,z'
'-y,x,-z'
'x,-y,-z'
'y,x,z'
'-x,y,-z'
'-y,-x,z'
loop_
_atom_site_label
_atom_site_type_symbol
_atom_site_fract_x
_atom_site_fract_y
_atom_site_fract_z
Tl1 Tl 0.000 0.000 0.000
Ag1 Ag 0.000 0.500 0.500
Cl1 Cl 0.264 0.264 0.265
# Magnetic moment ... 0.000 Bohr magnetons per cell
# ΔE_f (raw) ... -51 kJ per mole of atoms